No. 1
TbZr2Os after structural relaxation. Source: Alexandria, functional PBE.

a b c (Å): 4.8750 4.8750 4.8798
angles (deg): 60.03 60.03 60.00
Closest atoms and distances in Å follow each position.
Element x y z (fractional)
Tb 0.5000 0.5000 0.5000  8 Zr 2.99
Os 0.0000 0.0000 0.0000  8 Zr 2.99
Zr 0.2501 0.2501 0.2496  4 Os 2.99, 4 Tb 2.99
Zr 0.7499 0.7499 0.7504  4 Os 2.99, 4 Tb 2.99

Output
Magnetization ... 0.0 μB/cell
DOS(E_F) ... 4.3 states/eV/cell
Calculated formation energy ... -0.005 eV/atom
V ... 82.0 Å³/f.u.
Space group ... Fm-3m, No. 225
Distance to the lowest polymorph of the same formula ... 0.46 eV per formula unit

No. 2
LiCdAsRh after structural relaxation. Source: Alexandria, functional PBE.

a b c (Å): 4.4930 4.4930 4.4930
angles (deg): 60.00 60.00 60.00
Closest atoms and distances in Å follow each position.
Element x y z (fractional)
As 0.2500 0.2500 0.2500  4 Li 2.75, 4 Rh 2.75
Li 0.0000 0.0000 0.0000  4 As 2.75, 4 Cd 2.75
Rh 0.5000 0.5000 0.5000  4 Cd 2.75, 4 As 2.75
Cd 0.7500 0.7500 0.7500  4 Rh 2.75, 4 Li 2.75

Output
Magnetization ... 0.0 μB/cell
DOS(E_F) ... 2.4 states/eV/cell
Calculated formation energy ... -0.295 eV/atom
V ... 64.1 Å³/f.u.
Space group ... F-43m, No. 216

No. 3
AgRhAu2 after structural relaxation. Source: Alexandria, functional PBE.

a b c (Å): 2.8286 2.8286 9.8054
angles (deg): 90.00 90.00 118.93
Closest atoms and distances in Å follow each position.
Element x y z (fractional)
Ag 0.5000 0.5000 0.0000  6 Ag 2.83-2.87, 4 Au 2.89
Rh 0.5000 0.5000 0.5000  4 Au 2.79, 6 Rh 2.83-2.87
Au 0.0000 0.0000 0.2558  2 Rh 2.79, 6 Au 2.83-2.87, 2 Ag 2.89
Au 0.0000 0.0000 0.7442  2 Rh 2.79, 6 Au 2.83-2.87, 2 Ag 2.89

Output
Magnetization ... 0.4 μB/cell
DOS(E_F) ... 3.9 states/eV/cell
Calculated formation energy ... 0.151 eV/atom
V ... 68.7 Å³/f.u.
Space group ... Cmmm, No. 65
Distance to the lowest polymorph of the same formula ... 0.28 eV per formula unit

No. 4
CePu2Pt2 after structural relaxation. Source: Alexandria, functional PBE.

a b c (Å): 4.2466 5.6049 9.6808
angles (deg): 90.00 102.67 90.00
Closest atoms and distances in Å follow each position.
Element x y z (fractional)
Ce 0.5941 0.0368 0.1882  2 Pu 2.76, 4 Pt 2.79-2.92
Ce 0.4059 0.5368 0.8118  2 Pu 2.76, 4 Pt 2.79-2.92
Pu 0.0128 0.1892 0.0255  2 Ce 2.76, 2 Pt 2.84, 2 Pu 2.84
Pu 0.1908 0.5551 0.3816  6 Pt 2.80-3.05
Pu 0.8092 0.0551 0.6184  6 Pt 2.80-3.05
Pu 0.9872 0.6892 0.9745  2 Ce 2.76, 2 Pt 2.84, 2 Pu 2.84
Pt 0.5754 0.5308 0.1507  2 Ce 2.79-2.86, 6 Pu 2.84-3.09
Pt 0.1998 0.0537 0.3997  4 Pu 2.80-2.96, 2 Ce 2.92
Pt 0.8002 0.5537 0.6003  4 Pu 2.80-2.96, 2 Ce 2.92
Pt 0.4246 0.0308 0.8493  2 Ce 2.79-2.86, 6 Pu 2.84-3.09

Output
Magnetization ... 10.8 μB/cell
DOS(E_F) ... 37.0 states/eV/cell
Calculated formation energy ... -0.371 eV/atom
V ... 112.4 Å³/f.u.
Space group ... Cmc2_1, No. 36
Distance to the lowest polymorph of the same formula ... 1.30 eV per formula unit

No. 5
HfSc3Be after structural relaxation. Source: Alexandria, functional PBE.

a b c (Å): 4.8320 4.8320 4.8320
angles (deg): 90.00 90.00 90.00
Closest atoms and distances in Å follow each position.
Element x y z (fractional)
Sc 0.0000 0.5000 0.0000  2 Be 2.42
Sc 0.0000 0.0000 0.5000  2 Be 2.42
Sc 0.5000 0.0000 0.0000  2 Be 2.42
Be 0.0000 0.0000 0.0000  6 Sc 2.42
Hf 0.5000 0.5000 0.5000  12 Sc 3.42

Output
Magnetization ... 0.9 μB/cell
DOS(E_F) ... 7.1 states/eV/cell
Calculated formation energy ... 0.421 eV/atom
V ... 112.8 Å³/f.u.
Space group ... Pm-3m, No. 221
Distance to the lowest polymorph of the same formula ... 0.00 eV per formula unit

No. 6
LaWAu2 after structural relaxation. Source: Alexandria, functional PBE.

a b c (Å): 5.4892 5.4892 5.4892
angles (deg): 133.42 133.42 67.99
Closest atoms and distances in Å follow each position.
Element x y z (fractional)
Au 0.0000 0.0000 0.0000  4 La 3.07, 4 Au 3.14, 4 W 3.14
Au 0.2500 0.7500 0.5000  4 W 3.07, 4 La 3.14, 4 Au 3.14
La 0.5000 0.5000 0.0000  8 Au 3.07-3.14, 4 W 3.14
W 0.7500 0.2500 0.5000  8 Au 3.07-3.14, 4 La 3.14

Output
Magnetization ... 2.6 μB/cell
DOS(E_F) ... 3.3 states/eV/cell
Calculated formation energy ... 0.329 eV/atom
V ... 85.7 Å³/f.u.
Space group ... I-4m2, No. 119
Distance to the lowest polymorph of the same formula ... 0.78 eV per formula unit

No. 7
Ce11Ga9Pt4 after structural relaxation. Source: Alexandria, functional PBE.

a b c (Å): 3.7521 12.6184 12.6184
angles (deg): 113.23 90.00 90.00
Closest atoms and distances in Å follow each position.
Element x y z (fractional)
Ce 0.0000 0.5849 0.9503  1 Ce 2.88, 2 Pt 2.96, 6 Ga 3.17-3.19
Ce 0.0000 0.4151 0.0497  1 Ce 2.88, 2 Pt 2.96, 6 Ga 3.17-3.19
Ce 0.0000 0.9503 0.5849  1 Ce 2.88, 2 Pt 2.96, 6 Ga 3.17-3.19
Ce 0.0000 0.0497 0.4151  1 Ce 2.88, 2 Pt 2.96, 6 Ga 3.17-3.19
Ce 0.0000 0.6283 0.3717  4 Pt 2.94, 4 Ga 3.19
Ce 0.0000 0.3717 0.6283  4 Pt 2.94, 4 Ga 3.19
Ce 0.0000 0.8392 0.1608  8 Ga 3.24-3.29, 3 Ce 3.26-3.39
Ce 0.0000 0.1608 0.8392  8 Ga 3.24-3.29, 3 Ce 3.26-3.39
Ce 0.0000 0.0000 0.0000  8 Ga 3.17, 2 Ce 3.39
Ce 0.0000 0.7012 0.7012  4 Pt 2.91, 4 Ga 3.25
Ce 0.0000 0.2988 0.2988  4 Pt 2.91, 4 Ga 3.25
Ga 0.5000 0.6330 0.1689  1 Ga 2.75, 1 Pt 2.87
Ga 0.5000 0.3670 0.8311  1 Ga 2.75, 1 Pt 2.87
Ga 0.5000 0.1689 0.6330  1 Ga 2.75, 1 Pt 2.87
Ga 0.5000 0.8311 0.3670  1 Ga 2.75, 1 Pt 2.87
Ga 0.5000 0.7799 0.9302  1 Pt 2.80
Ga 0.5000 0.2201 0.0698  1 Pt 2.80
Ga 0.5000 0.9302 0.7799  1 Pt 2.80
Ga 0.5000 0.0698 0.2201  1 Pt 2.80
Ga 0.5000 0.5000 0.5000  4 Pt 3.06, 8 Ce 3.29-3.37
Pt 0.5000 0.5559 0.7591  3 Ga 2.80-3.06, 6 Ce 2.91-2.96
Pt 0.5000 0.4441 0.2409  3 Ga 2.80-3.06, 6 Ce 2.91-2.96
Pt 0.5000 0.7591 0.5559  3 Ga 2.80-3.06, 6 Ce 2.91-2.96
Pt 0.5000 0.2409 0.4441  3 Ga 2.80-3.06, 6 Ce 2.91-2.96

Output
Magnetization ... 5.2 μB/cell
DOS(E_F) ... 46.8 states/eV/cell
Calculated formation energy ... -0.737 eV/atom
V ... 549.0 Å³/f.u.
Space group ... Cmmm, No. 65

No. 8
Y2MgBi after structural relaxation. Source: Alexandria, functional PBE.

a b c (Å): 5.4283 5.4283 5.4283
angles (deg): 60.00 60.00 60.00
Closest atoms and distances in Å follow each position.
Element x y z (fractional)
Y 0.2500 0.2500 0.2500  4 Bi 3.32, 4 Mg 3.32
Y 0.7500 0.7500 0.7500  4 Mg 3.32, 4 Bi 3.32
Mg 0.0000 0.0000 0.0000  8 Y 3.32
Bi 0.5000 0.5000 0.5000  8 Y 3.32

Output
Magnetization ... 0.0 μB/cell
DOS(E_F) ... 4.8 states/eV/cell
Calculated formation energy ... -0.321 eV/atom
V ... 113.1 Å³/f.u.
Space group ... Fm-3m, No. 225
Distance to the lowest polymorph of the same formula ... 0.47 eV per formula unit

No. 9
La2SiIr after structural relaxation. Source: Alexandria, functional PBE.

a b c (Å): 5.9677 5.9677 5.9677
angles (deg): 138.04 138.04 60.85
Closest atoms and distances in Å follow each position.
Element x y z (fractional)
Ir 0.7500 0.2500 0.5000  8 La 3.02-3.34, 4 Si 3.34
La 0.0000 0.0000 0.0000  4 Si 3.02, 4 Ir 3.34, 4 La 3.34
La 0.2500 0.7500 0.5000  4 Ir 3.02, 4 La 3.34, 4 Si 3.34
Si 0.5000 0.5000 0.0000  8 La 3.02-3.34, 4 Ir 3.34

Output
Magnetization ... 0.0 μB/cell
DOS(E_F) ... 3.1 states/eV/cell
V ... 94.0 Å³/f.u.
Space group ... I-4m2, No. 119
Formation energy without anion corrections ... -0.412 eV per atom

No. 10
Ca3ReBi after structural relaxation. Source: Alexandria, functional PBE.

a b c (Å): 5.8989 5.8989 5.8989
angles (deg): 90.00 90.00 90.00
Closest atoms and distances in Å follow each position.
Element x y z (fractional)
Re 0.5000 0.5000 0.5000  12 Ca 4.17
Ca 0.0000 0.5000 0.0000  2 Bi 2.95
Ca 0.0000 0.0000 0.5000  2 Bi 2.95
Ca 0.5000 0.0000 0.0000  2 Bi 2.95
Bi 0.0000 0.0000 0.0000  6 Ca 2.95

Output
Magnetization ... 4.0 μB/cell
DOS(E_F) ... 2.8 states/eV/cell
Calculated formation energy ... 0.977 eV/atom
V ... 205.3 Å³/f.u.
Space group ... Pm-3m, No. 221
Distance to the lowest polymorph of the same formula ... 2.42 eV per formula unit